Entry 1:
Here is a relaxed structure of CaBeSi2 from Alexandria. Energies are from GGA-PBE.

Cell and atoms, written as POSCAR:
```
CaBeSi2
1.0
5.109 0.008 0.000
2.013 4.696 0.000
-3.561 -2.352 2.809
Be Ca Si
1 1 2
direct
0.500 0.500 0.000
0.750 0.250 0.500
0.000 0.000 0.000
0.250 0.750 0.500
```

Properties
DOS(E_F) (states/eV/cell): 1.5
Energy (eV per atom): -3.87
Formation energy (no corrections) (eV per atom): 0.27



Entry 2:
Here is a relaxed structure of Sn2BiAs from Alexandria. Energies are from GGA-PBE.

Cell and atoms, written as POSCAR:
```
Sn2BiAs
1.0
-1.236 -1.902 -3.511
-2.913 -2.994 0.159
-6.735 3.527 -2.028
As Bi Sn
1 1 2
direct
0.000 0.000 0.000
0.500 0.500 0.500
0.261 0.261 0.218
0.739 0.739 0.782
```

Properties
DOS(E_F) (states/eV/cell): 2.3
Energy (eV per atom): -4.10
ΔH_f (0 K) (eV per atom): 0.032



Entry 3:
Here is a relaxed structure of SrNi4Sn2 from Alexandria. Energies are from GGA-PBE.

Cell and atoms, written as POSCAR:
```
SrNi4Sn2
1.0
6.818 0.004 0.000
-2.332 6.407 0.000
-2.243 -3.206 5.584
Sr Ni Sn
2 8 4
direct
0.250 0.250 0.000
0.750 0.750 0.000
0.201 0.974 0.500
0.701 0.201 0.227
0.974 0.474 0.773
0.474 0.701 0.500
0.526 0.299 0.500
0.299 0.799 0.773
0.799 0.026 0.500
0.026 0.526 0.227
0.840 0.660 0.500
0.660 0.160 0.819
0.340 0.840 0.181
0.160 0.340 0.500
```

Properties
DOS(E_F) (states/eV/cell): 9.1
Energy (eV per atom): -5.01
ΔH_f (0 K) (eV per atom): -0.319



Entry 4:
Here is a relaxed structure of Tm4Cd5Hg from Alexandria. Energies are from GGA-PBE.

Cell and atoms, written as POSCAR:
```
Tm4Cd5Hg
1.0
4.808 0.000 -1.649
-0.567 6.202 -1.654
0.105 -0.028 8.144
Tm Cd Hg
4 5 1
direct
0.692 0.305 0.383
0.096 0.891 0.192
0.308 0.695 0.617
0.904 0.109 0.808
0.298 0.195 0.596
0.101 0.415 0.202
0.899 0.585 0.798
0.500 0.500 0.000
0.702 0.805 0.404
0.500 0.000 0.000
```

Properties
DOS(E_F) (states/eV/cell): 5.9
Energy (eV per atom): -2.58
ΔH_f (0 K) (eV per atom): -0.306



Entry 5:
Here is a relaxed structure of LiYTe2 from Alexandria. Energies are from GGA-PBE.

Cell and atoms, written as POSCAR:
```
LiYTe2
1.0
7.648 0.000 0.000
0.000 4.156 0.000
0.000 0.000 14.167
Y Te Li
4 8 4
direct
0.386 0.250 0.354
0.114 0.750 0.854
0.614 0.750 0.646
0.886 0.250 0.146
0.719 0.250 0.493
0.781 0.750 0.993
0.281 0.750 0.507
0.219 0.250 0.007
0.368 0.250 0.750
0.132 0.750 0.250
0.632 0.750 0.250
0.868 0.250 0.750
0.086 0.250 0.589
0.414 0.750 0.089
0.914 0.750 0.411
0.586 0.250 0.911
```

Properties
DOS(E_F) (states/eV/cell): 0.0
Energy (eV per atom): -4.89
Formation energy (no corrections) (eV per atom): -1.22



Entry 6:
Here is a relaxed structure of MgZnNiBr2 from Alexandria. Energies are from GGA-PBE.

Cell and atoms, written as POSCAR:
```
MgZnNiBr2
1.0
5.098 0.000 0.000
0.000 5.384 0.000
0.000 0.000 5.098
Ni Zn Mg Br
1 1 1 2
direct
0.000 0.500 0.000
0.500 0.500 0.500
0.000 0.000 0.000
0.000 0.000 0.500
0.500 0.000 0.000
```

Properties
DOS(E_F) (states/eV/cell): 16.7
Energy (eV per atom): -2.14
Formation energy (no corrections) (eV per atom): 0.26



Entry 7:
Here is a relaxed structure of TmBeS2 from Alexandria. Energies are from GGA-PBE.

Cell and atoms, written as POSCAR:
```
TmBeS2
1.0
-1.596 2.348 2.688
-3.702 -0.553 1.129
0.373 -3.612 6.219
Be S Tm
1 2 1
direct
0.000 0.000 0.000
0.094 0.094 0.719
0.906 0.906 0.281
0.500 0.500 0.500
```

Properties
DOS(E_F) (states/eV/cell): 1.6
Energy (eV per atom): -5.19
Formation energy (no corrections) (eV per atom): -1.08



Entry 8:
Here is a relaxed structure of DySnPb from Alexandria. Energies are from GGA-PBE.

Cell and atoms, written as POSCAR:
```
DySnPb
1.0
4.412 0.000 0.000
0.000 4.438 -1.156
0.000 -0.160 8.483
Dy Sn Pb
2 2 2
direct
0.250 0.093 0.186
0.750 0.907 0.814
0.250 0.435 0.870
0.750 0.565 0.130
0.250 0.747 0.495
0.750 0.253 0.505
```

Properties
DOS(E_F) (states/eV/cell): 3.6
Relative energy among the computed polymorphs (meV per atom): 0
Energy (eV per atom): -4.59
ΔH_f (0 K) (eV per atom): -0.484



Entry 9:
Here is a relaxed structure of CsVPb3 from Alexandria. Energies are from GGA-PBE.

Cell and atoms, written as POSCAR:
```
CsVPb3
1.0
5.448 0.000 0.000
0.000 5.448 0.000
0.000 0.000 5.448
Pb Cs V
3 1 1
direct
0.000 0.500 0.000
0.000 0.000 0.500
0.500 0.000 0.000
0.500 0.500 0.500
0.000 0.000 0.000
```

Properties
DOS(E_F) (states/eV/cell): 1.7
Relative energy among the computed polymorphs (meV per atom): 0
Energy (eV per atom): -4.10
ΔH_f (0 K) (eV per atom): 0.124



Entry 10:
Here is a relaxed structure of LuInCuAg from Alexandria. Energies are from GGA-PBE.

Cell and atoms, written as POSCAR:
```
LuInCuAg
1.0
-0.918 -4.245 2.001
3.298 -3.460 -0.114
2.254 -1.288 4.015
Lu Cu Ag In
1 1 1 1
direct
0.000 0.000 0.000
0.250 0.250 0.250
0.750 0.750 0.750
0.500 0.500 0.500
```

Properties
DOS(E_F) (states/eV/cell): 2.0
Energy (eV per atom): -3.85
ΔH_f (0 K) (eV per atom): -0.298



Entry 11:
Here is a relaxed structure of Ni2PBr from Alexandria. Energies are from GGA-PBE.

Cell and atoms, written as POSCAR:
```
Ni2PBr
1.0
3.410 0.000 0.000
0.000 3.483 0.028
0.000 1.042 5.933
Ni P Br
2 1 1
direct
0.000 0.300 0.839
0.000 0.700 0.161
0.500 0.000 0.000
0.500 0.500 0.500
```

Properties
DOS(E_F) (states/eV/cell): 2.7
Relative energy among the computed polymorphs (meV per atom): 315
Energy (eV per atom): -4.61
Formation energy (no corrections) (eV per atom): 0.05



Entry 12:
Here is a relaxed structure of FePt2Se from Alexandria. Energies are from GGA-PBE.

Cell and atoms, written as POSCAR:
```
FePt2Se
1.0
-2.377 -2.171 3.300
0.293 -2.836 3.623
0.475 4.024 4.347
Fe Pt Se
1 2 1
direct
0.230 0.230 0.187
0.967 0.967 0.027
0.724 0.724 0.803
0.578 0.578 0.483
```

Properties
DOS(E_F) (states/eV/cell): 3.8
Energy (eV per atom): -5.93
Formation energy (no corrections) (eV per atom): 0.08



Entry 13:
Here is a relaxed structure of Cu5PdPt4 from Alexandria. Energies are from GGA-PBE.

Cell and atoms, written as POSCAR:
```
Cu5PdPt4
1.0
-1.831 -0.746 -1.926
-1.595 -1.126 1.952
-8.675 15.905 2.089
Cu Pd Pt
5 1 4
direct
0.500 0.500 0.099
0.500 0.500 0.299
0.500 0.500 0.500
0.500 0.500 0.701
0.500 0.500 0.901
0.000 0.000 0.000
0.000 0.000 0.199
0.000 0.000 0.400
0.000 0.000 0.600
0.000 0.000 0.801
```

Properties
DOS(E_F) (states/eV/cell): 11.1
Energy (eV per atom): -5.12
ΔH_f (0 K) (eV per atom): -0.135



Entry 14:
Here is a relaxed structure of MgTePd from Alexandria. Energies are from GGA-PBE.

Cell and atoms, written as POSCAR:
```
MgTePd
1.0
-3.036 -0.461 -5.831
-0.673 -3.527 2.127
-5.213 0.119 2.657
Mg Te Pd
2 2 2
direct
0.317 0.655 0.262
0.797 0.246 0.556
0.338 0.936 0.718
0.776 0.964 0.100
0.557 0.450 0.909
0.057 0.950 0.409
```

Properties
DOS(E_F) (states/eV/cell): 1.7
Energy (eV per atom): -3.78
Formation energy (no corrections) (eV per atom): -0.47



Entry 15:
Here is a relaxed structure of EuSeCl from Alexandria. Energies are from GGA-PBE.

Cell and atoms, written as POSCAR:
```
EuSeCl
1.0
6.512 0.000 0.000
0.000 4.263 0.000
0.000 -2.131 3.692
Eu Se Cl
1 1 1
direct
0.006 0.000 0.000
0.763 0.667 0.333
0.231 0.333 0.667
```

Properties
DOS(E_F) (states/eV/cell): 4.1
Relative energy among the computed polymorphs (meV per atom): 0
Energy (eV per atom): -6.82
Formation energy (no corrections) (eV per atom): -1.62